No. 1
{"formula": "CsKCoI4", "functional": "GGA-PBE", "state": "relaxed", "cell": [[-3.272, -1.697, -6.972], [-6.567, -3.216, 3.864], [-3.014, 9.702, 2.952]], "species": ["Cs", "Cs", "K", "K", "Co", "Co", "I", "I", "I", "I", "I", "I", "I", "I"], "fractional_positions": [[0.720, 0.750, 0.923], [0.280, 0.250, 0.077], [0.777, 0.750, 0.452], [0.223, 0.250, 0.548], [0.200, 0.750, 0.304], [0.800, 0.250, 0.696], [0.010, 0.499, 0.746], [0.990, 0.999, 0.254], [0.990, 0.501, 0.254], [0.010, 0.001, 0.746], [0.396, 0.750, 0.149], [0.604, 0.250, 0.851], [0.386, 0.750, 0.554], [0.614, 0.250, 0.446]], "space_group": "No. 11", "raw_formation_energy_ev_per_atom": -0.898, "density_g_cm3": 3.8, "final_energy_ev_per_fu": -21.5}


No. 2
{"formula": "RePbW2", "functional": "GGA-PBE", "state": "relaxed", "cell": [[-1.929, -4.580, 0.562], [3.052, 0.315, -3.950], [2.344, -0.773, 1.749]], "species": ["Pb", "Re", "W", "W"], "fractional_positions": [[0.500, 0.000, 0.500], [0.000, 0.500, 0.500], [0.000, 0.000, 0.000], [0.500, 0.500, 0.000]], "space_group": "No. 65", "density_g_cm3": 18.1, "n_ef_per_ev_atom": 0.8743, "final_energy_ev_per_fu": -38.3}


No. 3
{"formula": "Cs3TlH", "functional": "GGA-PBE", "state": "relaxed", "cell": [[-2.519, 5.207, 2.356], [-5.627, -2.710, -0.025], [1.002, -2.133, 5.784]], "species": ["Cs", "Cs", "Cs", "H", "Tl"], "fractional_positions": [[0.000, 0.500, 0.000], [0.000, 0.000, 0.500], [0.500, 0.000, 0.000], [0.000, 0.000, 0.000], [0.500, 0.500, 0.500]], "space_group": "No. 221", "density_g_cm3": 4.1, "n_ef_per_ev_atom": 0.9415, "final_energy_ev_per_fu": -8.4, "e_above_lowest_polymorph_ev_per_atom": 0.000}


No. 4
{"formula": "Ce3TmSn3", "functional": "GGA-PBE", "state": "relaxed", "cell": [[7.448, 0.074, 0.044], [-3.252, 6.701, 0.044], [-0.612, -0.989, 8.503]], "species": ["Ce", "Ce", "Ce", "Ce", "Ce", "Ce", "Tm", "Tm", "Sn", "Sn", "Sn", "Sn", "Sn", "Sn"], "fractional_positions": [[0.640, 0.640, 0.417], [0.182, 0.818, 0.500], [0.818, 0.182, 0.500], [0.233, 0.767, 0.000], [0.767, 0.233, 0.000], [0.360, 0.360, 0.583], [0.713, 0.713, 0.004], [0.287, 0.287, 0.996], [0.017, 0.017, 0.249], [0.846, 0.529, 0.727], [0.529, 0.846, 0.727], [0.154, 0.471, 0.273], [0.471, 0.154, 0.273], [0.983, 0.983, 0.751]], "space_group": "No. 12", "density_g_cm3": 7.4, "n_ef_per_ev_atom": 2.7701, "final_energy_ev_per_fu": -36.9}


Repeat the second record exactly.
{"formula": "RePbW2", "functional": "GGA-PBE", "state": "relaxed", "cell": [[-1.929, -4.580, 0.562], [3.052, 0.315, -3.950], [2.344, -0.773, 1.749]], "species": ["Pb", "Re", "W", "W"], "fractional_positions": [[0.500, 0.000, 0.500], [0.000, 0.500, 0.500], [0.000, 0.000, 0.000], [0.500, 0.500, 0.000]], "space_group": "No. 65", "density_g_cm3": 18.1, "n_ef_per_ev_atom": 0.8743, "final_energy_ev_per_fu": -38.3}